[1]
Computed, not measured: crystalline La2ZnFe at its relaxed geometry at the GGA-PBEsol level of DFT.

Output
- uncorrected energy (eV per atom) = -5.17
- theoretical density (g cm⁻³) = 7.06
- energy relative to the elements (kJ per mole of atoms) = 13.3

Cell: 3.4813 3.4813 7.7478 Å, 90.00 90.00 90.00°
Closest atoms and distances in Å follow each position.
Element x y z (fractional)
1 Fe 0.5000 0.5000 0.6498  1 La 2.39, 4 Zn 2.54
2 La 0.0000 0.0000 0.9372  1 Zn 2.84
3 Zn 0.0000 0.0000 0.5713  4 Fe 2.54, 1 La 2.84
4 La 0.5000 0.5000 0.3417  1 Fe 2.39

[2]
Computed, not measured: crystalline LaZnFe2 at its relaxed geometry at the GGA-PBEsol level of DFT.

Output
- uncorrected energy (eV per atom) = -6.07
- theoretical density (g cm⁻³) = 8.01
- energy relative to the elements (kJ per mole of atoms) = 14.2

Cell: 3.0367 3.0346 7.1072 Å, 90.00 90.00 90.00°
Closest atoms and distances in Å follow each position.
Element x y z (fractional)
1 La 0.0000 0.0000 0.4796  4 La 3.03-3.04, 5 Fe 3.04-3.25, 4 Zn 3.24
2 Zn 0.5000 0.5000 0.8204  5 Fe 2.54-2.58
3 Fe 0.5000 0.5000 0.1774  4 Fe 2.41, 1 Zn 2.54
4 Fe 0.0000 0.0000 0.0226  4 Fe 2.41, 4 Zn 2.58

[3]
Computed, not measured: crystalline La2ZnFe at its relaxed geometry at the GGA-PBEsol level of DFT.

Output
- uncorrected energy (eV per atom) = -5.27
- theoretical density (g cm⁻³) = 6.94
- energy relative to the elements (kJ per mole of atoms) = 4.1

Cell: 3.9698 4.3817 5.8339 Å, 90.00 109.87 90.00°
Closest atoms and distances in Å follow each position.
Element x y z (fractional)
1 Zn 0.3148 0.0000 0.5043  2 Fe 2.54
2 La 0.7344 0.5000 0.3429  2 Fe 2.94-2.95, 4 Zn 3.09
3 La 0.0190 0.0000 0.9137  3 Zn 3.00-3.24, 4 Fe 3.11
4 Fe 0.4318 0.5000 0.7391  2 Zn 2.54

[4]
Computed, not measured: crystalline LaZnFe2 at its relaxed geometry at the GGA-PBEsol level of DFT.

Output
- uncorrected energy (eV per atom) = -5.81
- theoretical density (g cm⁻³) = 7.52
- energy relative to the elements (kJ per mole of atoms) = 39.4

Cell: 4.6201 4.6201 4.6201 Å, 60.00 60.00 60.00°
Closest atoms and distances in Å follow each position.
Element x y z (fractional)
1 Zn 0.2500 0.2500 0.2500  4 La 2.83, 4 Fe 2.83
2 Fe 0.0000 0.0000 0.0000  4 Fe 2.83, 4 Zn 2.83
3 La 0.5000 0.5000 0.5000  4 Fe 2.83, 4 Zn 2.83
4 Fe 0.7500 0.7500 0.7500  4 Fe 2.83, 4 La 2.83

[5]
Computed, not measured: crystalline La2ZnFe at its relaxed geometry at the GGA-PBEsol level of DFT.

Output
- uncorrected energy (eV per atom) = -5.15
- theoretical density (g cm⁻³) = 8.07
- energy relative to the elements (kJ per mole of atoms) = 15.4

Cell: 4.8792 4.8792 4.8792 Å, 60.00 60.00 60.00°
Closest atoms and distances in Å follow each position.
Element x y z (fractional)
1 La 0.0000 0.0000 0.0000  4 La 2.99, 4 Zn 2.99
2 Fe 0.5000 0.5000 0.5000  4 Zn 2.99, 4 La 2.99
3 La 0.7500 0.7500 0.7500  4 Fe 2.99, 4 La 2.99
4 Zn 0.2500 0.2500 0.2500  4 La 2.99, 4 Fe 2.99

[6]
Computed, not measured: crystalline LaZr2Fe at its relaxed geometry at the GGA-PBEsol level of DFT.

Output
- uncorrected energy (eV per atom) = -7.97
- theoretical density (g cm⁻³) = 7.44
- energy relative to the elements (kJ per mole of atoms) = 15.0

Cell: 3.3700 5.0707 5.7894 Å, 115.97 106.92 90.00°
Closest atoms and distances in Å follow each position.
Element x y z (fractional)
1 Zr 0.0000 0.0000 0.0000  4 Fe 3.05, 4 Zr 3.17-3.37, 4 La 3.24-3.36
2 Fe 0.5127 0.5127 0.0254  2 Zr 2.44, 2 La 2.73
3 La 0.7947 0.2947 0.5895  2 Fe 2.73
4 Zr 0.1925 0.6925 0.3851  2 Fe 2.44

[7]
Computed, not measured: crystalline LaZr2Fe at its relaxed geometry at the GGA-PBEsol level of DFT.

Output
- uncorrected energy (eV per atom) = -7.70
- theoretical density (g cm⁻³) = 7.46
- energy relative to the elements (kJ per mole of atoms) = 40.5

Cell: 4.1572 4.1572 4.8554 Å, 90.00 90.00 90.00°
Closest atoms and distances in Å follow each position.
Element x y z (fractional)
1 Fe 0.5000 0.5000 0.5000  4 La 2.94, 8 Zr 3.20
2 Zr 0.5000 0.0000 0.0000  4 Zr 2.94, 4 La 3.20, 4 Fe 3.20
3 Zr 0.0000 0.5000 0.0000  4 Zr 2.94, 4 La 3.20, 4 Fe 3.20
4 La 0.0000 0.0000 0.5000  4 Fe 2.94, 8 Zr 3.20

[8]
Computed, not measured: crystalline LaZr2Fe at its relaxed geometry at the GGA-PBEsol level of DFT.

Output
- uncorrected energy (eV per atom) = -7.72
- theoretical density (g cm⁻³) = 7.41
- energy relative to the elements (kJ per mole of atoms) = 38.4

Cell: 4.3884 4.3884 5.3758 Å, 114.09 114.09 90.00°
Closest atoms and distances in Å follow each position.
Element x y z (fractional)
1 Fe 0.5000 0.5000 0.0000  8 Zr 3.10, 4 La 3.10
2 Zr 0.0000 0.0000 0.0000  4 Fe 3.10, 4 Zr 3.10, 4 La 3.10
3 Zr 0.7500 0.2500 0.5000  4 La 3.10, 4 Fe 3.10, 4 Zr 3.10
4 La 0.2500 0.7500 0.5000  8 Zr 3.10, 4 Fe 3.10

[9]
Computed, not measured: crystalline La2ZrFe at its relaxed geometry at the GGA-PBEsol level of DFT.

Output
- uncorrected energy (eV per atom) = -6.92
- theoretical density (g cm⁻³) = 7.62
- energy relative to the elements (kJ per mole of atoms) = 26.0

Cell: 3.5322 5.2744 5.8996 Å, 116.55 107.42 90.00°
Closest atoms and distances in Å follow each position.
Element x y z (fractional)
1 Zr 0.5000 0.0000 0.0000  4 Fe 3.17, 8 La 3.27-3.52, 2 Zr 3.53
2 La 0.3062 0.3062 0.6124  2 Fe 2.61
3 La 0.6938 0.6938 0.3876  2 Fe 2.61
4 Fe 0.0000 0.5000 0.0000  4 La 2.61

[10]
Computed, not measured: crystalline La2ZrFe at its relaxed geometry at the GGA-PBEsol level of DFT.

Output
- uncorrected energy (eV per atom) = -6.76
- theoretical density (g cm⁻³) = 7.32
- energy relative to the elements (kJ per mole of atoms) = 41.4

Cell: 3.4138 5.3127 5.3127 Å, 90.00 90.00 90.00°
Closest atoms and distances in Å follow each position.
Element x y z (fractional)
1 Zr 0.5000 0.5000 0.5000  8 La 3.16, 2 Zr 3.41
2 La 0.0000 0.0000 0.5000  4 Zr 3.16, 4 Fe 3.16, 2 La 3.41
3 Fe 0.5000 0.0000 0.0000  8 La 3.16, 2 Fe 3.41
4 La 0.0000 0.5000 0.0000  4 Fe 3.16, 4 Zr 3.16, 2 La 3.41

[11]
Computed, not measured: crystalline La2ZrFe at its relaxed geometry at the GGA-PBEsol level of DFT.

Output
- uncorrected energy (eV per atom) = -7.02
- theoretical density (g cm⁻³) = 7.26
- energy relative to the elements (kJ per mole of atoms) = 15.7

Cell: 3.4770 5.4747 6.0016 Å, 116.09 106.84 90.00°
Closest atoms and distances in Å follow each position.
Element x y z (fractional)
1 Fe 0.2326 0.7087 0.4652  2 Zr 2.44
2 La 0.7523 0.2590 0.5045  4 Fe 3.11-3.39, 2 Zr 3.32-3.36, 4 La 3.36-3.48
3 Zr 0.5649 0.5731 0.1299  2 Fe 2.44
4 La 0.9502 0.9592 0.9004  2 Fe 2.83

[12]
Computed, not measured: crystalline Li2Fe at its relaxed geometry at the GGA-PBEsol level of DFT.

Output
- uncorrected energy (eV per atom) = -3.88
- theoretical density (g cm⁻³) = 2.90
- energy relative to the elements (kJ per mole of atoms) = 40.4

Cell: 2.3591 4.2094 4.6847 Å, 116.70 104.58 90.00°
Closest atoms and distances in Å follow each position.
Element x y z (fractional)
1 Fe 0.0000 0.0000 0.0000  2 Fe 2.36
2 Li 0.6634 0.6634 0.3269  3 Li 2.36-2.63
3 Li 0.3366 0.3366 0.6731  3 Li 2.36-2.63